! Tb6Tl2Rh | Alexandria | PBE | optimized geometry; values from VASP
&SYSTEM
  ibrav = 0, nat = 9, ntyp = 3
/
ATOMIC_SPECIES
Tb 158.93 Tb.upf
Tl 204.38 Tl.upf
Rh 102.91 Rh.upf
ATOMIC_POSITIONS angstrom
Tb 2.5734 1.7472 -2.2904
Tb 0.0000 1.6462 0.0000
Tb 2.5734 1.7472 2.2904
Tb 0.0000 1.8852 5.1519
Tb 0.0000 5.6186 0.0000
Tb 0.0000 1.8852 9.7327
Tl 2.5734 0.0000 4.9406
Tl 0.0000 3.6324 2.5017
Rh 2.5734 0.0000 0.0000
CELL_PARAMETERS angstrom
-2.5734 3.6324 7.4423
2.5734 -3.6324 7.4423
2.5734 3.6324 -7.4423
! formation enthalpy at 0 K	-220	meV per atom
! SG	Immm, No. 71
! Fermi-level density of states	0.94	states/eV per atom